#a
DFT (PBE) results for a relaxed YTc2Os crystal.

a b c (Å): 3.969 3.969 4.360
angles (deg): 90.00 90.00 90.00
Space group P4/mmm (No. 123)
Asymmetric unit:
Y: 0.000 0.000 0.000
Tc: 0.000 0.500 0.500
Os: 0.500 0.500 0.000

Values from the calculation:
Fermi-level density of states ... 6.8 states/eV/f.u.
Mass density ... 11488 kg/m³
Magnetization ... 0.00 μB/atom

---

#b
DFT (PBE) results for a relaxed YTc2Os crystal.

a b c (Å): 9.941 3.064 4.916
angles (deg): 90.00 107.61 90.00
Space group C2/m (No. 12)
Asymmetric unit:
Y: 0.000 0.000 0.000
Tc: 0.222 0.000 0.685
Os: 0.000 0.500 0.500

Values from the calculation:
Fermi-level density of states ... 5.0 states/eV/f.u.
Mass density ... 11058 kg/m³
Magnetization ... 0.00 μB/atom

---

Most stable structure, least stable structure: #b, #a.

---

#a
DFT (PBE) results for a relaxed CaScTa2 crystal.

a b c (Å): 3.0762 3.0762 32.0040
angles (deg): 90.00 90.00 120.00
Space group R-3m (No. 166, hexagonal axes)
Asymmetric unit:
Ca: 0.0000 0.0000 0.0000
Sc: 0.0000 0.0000 0.5000
Ta: 0.0000 0.0000 0.2453

Values from the calculation:
Fermi-level density of states ... 6.3 states/eV/f.u.
Mass density ... 8489 kg/m³
Magnetization ... 0.00 μB/atom

---

#b
DFT (PBE) results for a relaxed CaScTa2 crystal.

a b c (Å): 3.521 3.521 7.889
angles (deg): 90.00 90.00 90.00
Space group P4mm (No. 99)
Asymmetric unit:
Ca: 0.000 0.000 0.000
Sc: 0.500 0.500 0.343
Ta: 0.000 0.000 0.568
Ta: 0.500 0.500 0.717

Values from the calculation:
Fermi-level density of states ... 5.0 states/eV/f.u.
Mass density ... 7586 kg/m³
Magnetization ... 0.00 μB/atom

---

Most stable structure, least stable structure: #b, #a.

---

#a
DFT (PBE) results for a relaxed CoCuRe2 crystal.

a b c (Å): 3.038 4.282 8.429
angles (deg): 90.00 90.00 90.00
Space group Cmm2 (No. 35)
Asymmetric unit:
Co: 0.000 0.000 0.000
Cu: 0.000 0.500 0.763
Re: 0.000 0.000 0.504
Re: 0.000 0.500 0.239

Values from the calculation:
Fermi-level density of states ... 4.8 states/eV/f.u.
Mass density ... 14993 kg/m³
Magnetization ... 0.39 μB/atom

---

#b
DFT (PBE) results for a relaxed CoCuRe2 crystal.

a b c (Å): 5.990 5.990 5.990
angles (deg): 90.00 90.00 90.00
Space group F-43m (No. 216)
Asymmetric unit:
Co: 0.000 0.000 0.000
Cu: 0.250 0.250 0.250
Re: 0.000 0.000 0.500
Re: 0.250 0.250 0.750

Values from the calculation:
Fermi-level density of states ... 2.6 states/eV/f.u.
Mass density ... 15296 kg/m³
Magnetization ... 0.10 μB/atom

---

Most stable structure, least stable structure: #b, #a.

---

#a
DFT (PBE) results for a relaxed MnTe2Au crystal.

a b c (Å): 4.0475 4.0475 20.4334
angles (deg): 90.00 90.00 120.00
Space group R-3m (No. 166, hexagonal axes)
Asymmetric unit:
Mn: 0.0000 0.0000 0.0000
Te: 0.0000 0.0000 0.2550
Au: 0.0000 0.0000 0.5000

Values from the calculation:
Fermi-level density of states ... 1.7 states/eV/f.u.
Mass density ... 8714 kg/m³
Magnetization ... 1.00 μB/atom

---

#b
DFT (PBE) results for a relaxed MnTe2Au crystal.

a b c (Å): 3.501 3.501 7.123
angles (deg): 90.00 90.00 90.00
Space group P4/mmm (No. 123)
Asymmetric unit:
Mn: 0.000 0.000 0.000
Te: 0.500 0.500 0.224
Au: 0.000 0.000 0.500

Values from the calculation:
Fermi-level density of states ... 2.6 states/eV/f.u.
Mass density ... 9648 kg/m³
Magnetization ... 0.79 μB/atom

---

Most stable structure, least stable structure: #a, #b.